No. 1
Computed, not measured: a relaxed POsSeCl2 crystal at the GGA-PBE level of DFT.

Cell lengths 4.742, 4.742, 4.637 Å; angles 90.00, 90.00, 90.00 degrees
Element x y z (fractional)
1 Cl 0.500 0.000 0.000
2 Cl 0.000 0.500 0.000
3 Se 0.500 0.500 0.500
4 Os 0.000 0.000 0.000
5 P 0.000 0.000 0.500

## Properties
Fermi-level density of states = 4.75 states/eV/f.u.
M_tot = 0.0 μB/cell
Polymorph energy (0 for the lowest one) = 0.00 eV per formula unit
Energy relative to the elements, uncorrected = 0.593 eV/atom

No. 2
Computed, not measured: a relaxed NbAlAs crystal at the GGA-PBE level of DFT.

Cell lengths 6.433, 3.406, 9.703 Å; angles 90.00, 92.79, 90.00 degrees
Element x y z (fractional)
1 As 0.428 0.500 0.609
2 As 0.428 0.000 0.109
3 As 0.746 0.500 0.896
4 As 0.746 0.000 0.396
5 Nb 0.048 0.000 0.969
6 Nb 0.748 0.500 0.174
7 Nb 0.048 0.500 0.469
8 Nb 0.748 0.000 0.674
9 Al 0.091 0.000 0.248
10 Al 0.091 0.500 0.748
11 Al 0.406 0.500 0.334
12 Al 0.406 0.000 0.834

## Properties
Formation energy = -0.304 eV per atom
Fermi-level density of states = 1.87 states/eV/f.u.
M_tot = 0.0 μB/cell

No. 3
Computed, not measured: a relaxed NaEu3Os crystal at the GGA-PBE level of DFT.

Cell lengths 5.671, 5.671, 5.671 Å; angles 90.00, 90.00, 90.00 degrees
Site moments in Bohr magnetons follow the coordinates.
Element x y z (fractional)
1 Eu 0.000 0.000 0.500  6.82
2 Eu 0.500 0.000 0.000  6.82
3 Eu 0.000 0.500 0.000  6.82
4 Os 0.000 0.000 0.000  -0.69
5 Na 0.500 0.500 0.500  0.00

## Properties
Formation energy = 0.176 eV per atom
Fermi-level density of states = 21.94 states/eV/f.u.
M_tot = 20.8 μB/cell

No. 4
Computed, not measured: a relaxed CaTa3P crystal at the GGA-PBE level of DFT.

Cell lengths 4.735, 4.735, 4.735 Å; angles 90.00, 90.00, 90.00 degrees
Element x y z (fractional)
1 Ta 0.500 0.000 0.000
2 Ta 0.000 0.000 0.500
3 Ta 0.000 0.500 0.000
4 Ca 0.500 0.500 0.500
5 P 0.000 0.000 0.000

## Properties
Formation energy = 0.357 eV per atom
Fermi-level density of states = 8.22 states/eV/f.u.
M_tot = 0.0 μB/cell
Polymorph energy (0 for the lowest one) = 0.00 eV per formula unit

No. 5
Computed, not measured: a relaxed KTa2Si crystal at the GGA-PBE level of DFT.

Cell lengths 4.726, 4.726, 7.679 Å; angles 85.20, 85.20, 35.93 degrees
Element x y z (fractional)
1 K 0.511 0.511 0.485
2 Si 0.260 0.260 0.145
3 Ta 0.731 0.731 0.852
4 Ta 0.999 0.999 0.017

## Properties
Fermi-level density of states = 3.31 states/eV/f.u.
M_tot = 0.0 μB/cell
Energy relative to the elements, uncorrected = 0.545 eV/atom

No. 6
Computed, not measured: a relaxed Zr2TiPd3 crystal at the GGA-PBE level of DFT.

Cell lengths 4.470, 6.857, 8.141 Å; angles 114.91, 105.90, 90.00 degrees
Element x y z (fractional)
1 Zr 0.330 0.330 0.661
2 Zr 0.670 0.670 0.339
3 Zr 0.330 0.830 0.661
4 Zr 0.670 0.170 0.339
5 Pd 0.857 0.607 0.715
6 Pd 0.500 0.750 0.000
7 Pd 0.143 0.893 0.285
8 Pd 0.857 0.107 0.715
9 Pd 0.500 0.250 0.000
10 Pd 0.143 0.393 0.285
11 Ti 0.000 0.000 0.000
12 Ti 0.000 0.500 0.000

## Properties
Formation energy = -0.553 eV per atom
Fermi-level density of states = 6.68 states/eV/f.u.
M_tot = 0.0 μB/cell
Polymorph energy (0 for the lowest one) = 0.12 eV per formula unit